--- 1 ---
{"formula": "BaRe2Mo", "functional": "PBE", "state": "optimized geometry", "lattice_angstrom": [[-0.4058, 1.4047, 2.8698], [-1.5515, -2.6158, 1.0610], [7.0501, -3.1515, 2.5395]], "species": ["Ba", "Mo", "Re", "Re"], "frac_coords": [[0.5000, 0.5000, 0.2500], [0.5000, 0.5000, 0.7500], [0.0000, 0.0000, 0.9206], [0.0000, 0.0000, 0.5794]], "dos_at_fermi_per_ev_cell": 2.91}



--- 2 ---
{"formula": "BaRe2Mo", "functional": "PBE", "state": "optimized geometry", "lattice_angstrom": [[5.5403, -0.0357, 0.0000], [-1.7499, 5.2568, 0.0000], [0.0000, 0.0000, 2.7258]], "species": ["Ba", "Mo", "Re", "Re"], "frac_coords": [[0.5000, 0.0000, 0.5000], [0.0000, 0.5000, 0.5000], [0.0000, 0.0000, 0.0000], [0.5000, 0.5000, 0.0000]], "dos_at_fermi_per_ev_cell": 5.94}



Relative energies in meV per atom: 1 0; 2 874